(1)
This record from the Alexandria database describes TbBi5 after structural relaxation. The functional is PBE.

Structure (extended XYZ):
```
6
Lattice="2.355 -8.259 0.000 2.355 8.259 0.000 0.000 0.000 4.805" Properties=species:S:1:pos:R:3 pbc="T T T"
Tb 0.000 0.000 0.000
Bi 2.355 5.517 2.403
Bi 2.355 2.504 0.000
Bi 2.355 0.000 2.403
Bi 2.355 -2.504 0.000
Bi 2.355 -5.517 2.403
```

Results
Volume (Å³/atom): 31.15
Magnetic moment (μB/atom): 0.0000
Energy of formation (eV per formula unit): -1.3



(2)
This record from the Alexandria database describes Tb5Bi3 after structural relaxation. The functional is PBE.

Structure (extended XYZ):
```
32
Lattice="12.106 0.000 0.000 0.000 9.566 0.000 0.000 0.000 8.314" Properties=species:S:1:pos:R:3 pbc="T T T"
Tb 0.052 2.391 0.174
Tb 0.775 0.584 5.729
Tb 0.775 4.199 5.729
Tb 2.547 7.174 2.825
Tb 2.747 2.391 2.731
Tb 3.307 7.174 6.888
Tb 3.506 2.391 6.982
Tb 5.278 5.367 1.572
Tb 5.278 8.982 1.572
Tb 6.001 7.174 4.331
Tb 6.105 2.391 3.984
Tb 6.828 0.584 6.743
Tb 6.828 4.199 6.743
Tb 8.600 7.174 1.333
Tb 8.800 2.391 1.427
Tb 9.360 7.174 5.584
Tb 9.559 2.391 5.490
Tb 11.331 5.367 2.585
Tb 11.331 8.982 2.585
Tb 12.054 7.174 8.141
Bi 0.347 7.174 4.990
Bi 2.117 4.855 0.524
Bi 2.117 9.493 0.524
Bi 3.936 0.073 4.681
Bi 3.936 4.710 4.681
Bi 5.706 2.391 0.832
Bi 6.400 7.174 7.482
Bi 8.170 4.855 3.633
Bi 8.170 9.493 3.633
Bi 9.990 0.073 7.790
Bi 9.990 4.710 7.790
Bi 11.759 2.391 3.325
```

Results
Volume (Å³/atom): 30.09
Magnetic moment (μB/atom): 0.0000
Energy of formation (eV per formula unit): -5.6



(3)
This record from the Alexandria database describes TbBi6 after structural relaxation. The functional is PBE.

Structure (extended XYZ):
```
7
Lattice="-4.377 4.377 4.377 4.377 -4.377 4.377 4.377 4.377 -4.377" Properties=species:S:1:pos:R:3 pbc="T T T"
Tb 0.000 0.000 0.000
Bi 4.377 2.189 0.000
Bi 4.377 0.000 2.189
Bi 2.189 4.377 0.000
Bi 2.189 0.000 4.377
Bi 0.000 4.377 2.189
Bi 0.000 2.189 4.377
```

Results
Volume (Å³/atom): 47.92
Magnetic moment (μB/atom): 0.0001
Energy of formation (eV per formula unit): 3.9



(4)
This record from the Alexandria database describes TbBi2 after structural relaxation. The functional is PBE.

Structure (extended XYZ):
```
6
Lattice="2.631 1.519 8.597 -2.631 1.519 8.597 0.000 -3.038 8.597" Properties=species:S:1:pos:R:3 pbc="T T T"
Tb 0.000 0.000 1.864
Tb 0.000 0.000 23.927
Bi 0.000 0.000 5.062
Bi 0.000 0.000 9.703
Bi 0.000 0.000 16.089
Bi 0.000 0.000 20.729
```

Results
Volume (Å³/atom): 34.36
Magnetic moment (μB/atom): 0.0000
Energy of formation (eV per formula unit): -0.8



(5)
This record from the Alexandria database describes TbBi after structural relaxation. The functional is PBE.

Structure (extended XYZ):
```
2
Lattice="0.000 3.175 3.175 3.175 0.000 3.175 3.175 3.175 0.000" Properties=species:S:1:pos:R:3 pbc="T T T"
Tb 0.000 0.000 0.000
Bi 3.175 3.175 3.175
```

Results
Volume (Å³/atom): 32.00
Magnetic moment (μB/atom): 0.0000
Energy of formation (eV per formula unit): -1.8



(6)
This record from the Alexandria database describes Tb3Bi2 after structural relaxation. The functional is PBE.

Structure (extended XYZ):
```
20
Lattice="9.732 0.000 0.000 0.000 8.048 0.000 0.000 0.000 8.051" Properties=species:S:1:pos:R:3 pbc="T T T"
Tb 0.000 1.077 2.013
Tb 0.000 6.971 6.038
Tb 1.455 3.900 5.007
Tb 1.455 4.148 0.982
Tb 3.411 0.124 0.982
Tb 3.411 7.925 5.007
Tb 4.866 2.947 6.038
Tb 4.866 5.101 2.013
Tb 6.321 0.124 3.044
Tb 6.321 7.925 7.069
Tb 8.277 3.900 7.069
Tb 8.277 4.148 3.044
Bi 1.455 1.623 7.148
Bi 1.455 6.426 3.123
Bi 3.411 2.402 3.123
Bi 3.411 5.647 7.148
Bi 6.320 2.402 0.903
Bi 6.320 5.647 4.928
Bi 8.277 1.623 4.928
Bi 8.277 6.426 0.903
```

Results
Volume (Å³/atom): 31.53
Magnetic moment (μB/atom): 0.0000
Energy of formation (eV per formula unit): -2.9



What is the energy of formation in the sixth record?
-2.9 eV per formula unit



What is the volume in the third record?
47.92 Å³/atom



Number 5 is which compound?
TbBi